First-principles (PBE) data for a relaxed BaCdInAu2 crystal, as listed in Alexandria via LeMat-Bulk.

Lattice parameters (Å, degrees): 4.6098 4.6098 12.6682 90.00 90.00 90.00
Element x y z (fractional)
Ba  0.0000  0.0000  0.0000
Ba  0.5000  0.5000  0.5000
Cd  0.0000  0.5000  0.2500
Cd  0.5000  0.0000  0.7500
In  0.0000  0.5000  0.7500
In  0.5000  0.0000  0.2500
Au  0.0000  0.0000  0.3882
Au  0.0000  0.0000  0.6118
Au  0.5000  0.5000  0.1118
Au  0.5000  0.5000  0.8882

- Fermi-level density of states (states/eV/f.u.) = 2.74
- SG = I-4m2, No. 119
- VASP energy (eV per atom) = -2.956
- total moment (μB per formula unit) = 0.00
- V (Å³/cell) = 269.2